{"formula": "NdMgHgBi", "functional": "PBE", "state": "relaxed", "formation_energy_ev_per_atom": -0.3699, "space_group": "No. 216", "final_energy_ry_per_atom": -0.2210, "lattice_angstrom": [[-4.7917, -0.9065, -2.2775], [-3.7481, -2.8143, 2.6459], [-4.3895, 2.4759, 1.8898]], "species": ["Nd", "Hg", "Bi", "Mg"], "frac_coords": [[0.2500, 0.2500, 0.2500], [0.5000, 0.5000, 0.5000], [0.0000, 0.0000, 0.0000], [0.7500, 0.7500, 0.7500]]}


{"formula": "Nd4GaOs", "functional": "PBE", "state": "relaxed", "formation_energy_ev_per_atom": -0.2470, "space_group": "No. 15", "final_energy_ry_per_atom": -0.4264, "lattice_angstrom": [[6.3174, -0.1897, 0.0000], [-1.8417, 8.0338, 0.0000], [-2.2379, -3.9220, 6.8860]], "species": ["Nd", "Nd", "Nd", "Nd", "Nd", "Nd", "Nd", "Nd", "Ga", "Ga", "Os", "Os"], "frac_coords": [[0.0345, 0.2202, 0.8657], [0.6401, 0.0582, 0.3535], [0.3312, 0.6455, 0.8657], [0.9655, 0.7798, 0.1343], [0.2134, 0.2953, 0.3535], [0.7866, 0.7047, 0.6465], [0.6688, 0.3545, 0.1343], [0.3599, 0.9418, 0.6465], [0.3777, 0.6277, 0.2555], [0.6223, 0.3723, 0.7445], [0.2510, 0.0010, 0.0019], [0.7490, 0.9990, 0.9981]]}


{"formula": "Ba7In2Se6F8", "functional": "PBE", "state": "relaxed", "raw_formation_energy_kj_per_mol_atoms": -258, "space_group": "No. 12", "final_energy_ry_per_atom": -0.3720, "lattice_angstrom": [[12.4762, 0.0067, -0.0247], [11.6778, 4.3914, -0.0247], [3.2364, 0.5893, 10.5754]], "species": ["Se", "Se", "Se", "Se", "Se", "Se", "F", "F", "F", "F", "F", "F", "F", "F", "Ba", "Ba", "Ba", "Ba", "Ba", "Ba", "Ba", "In", "In"], "frac_coords": [[0.6902, 0.6902, 0.4959], [0.9330, 0.9330, 0.6293], [0.0670, 0.0670, 0.3707], [0.2370, 0.2370, 0.1466], [0.3098, 0.3098, 0.5041], [0.7630, 0.7630, 0.8534], [0.3794, 0.3794, 0.1647], [0.4778, 0.4778, 0.8776], [0.0657, 0.0657, 0.7377], [0.9343, 0.9343, 0.2623], [0.5222, 0.5222, 0.1224], [0.1123, 0.1123, 0.0046], [0.6206, 0.6206, 0.8353], [0.8877, 0.8877, 0.9954], [0.4563, 0.4563, 0.3580], [0.5437, 0.5437, 0.6420], [0.3667, 0.3667, 0.8986], [0.8261, 0.8261, 0.2400], [0.1739, 0.1739, 0.7600], [0.0000, 0.0000, 0.0000], [0.6333, 0.6333, 0.1014], [0.1713, 0.1713, 0.3742], [0.8287, 0.8287, 0.6258]]}


{"formula": "Tl2SiPd2", "functional": "PBE", "state": "relaxed", "raw_formation_energy_kj_per_mol_atoms": -6, "space_group": "No. 127", "final_energy_ry_per_atom": -0.3064, "lattice_angstrom": [[-2.0677, 3.9890, 4.3837], [-0.8874, -4.7989, 3.9482], [5.1123, 0.5940, 1.8709]], "species": ["Pd", "Pd", "Pd", "Pd", "Tl", "Tl", "Tl", "Tl", "Si", "Si"], "frac_coords": [[0.3416, 0.8416, 0.0000], [0.6584, 0.1584, 0.0000], [0.8416, 0.6584, 0.0000], [0.1584, 0.3416, 0.0000], [0.3231, 0.1769, 0.5000], [0.6769, 0.8231, 0.5000], [0.1769, 0.6769, 0.5000], [0.8231, 0.3231, 0.5000], [0.5000, 0.5000, 0.0000], [0.0000, 0.0000, 0.0000]]}


{"formula": "UBeFe", "functional": "PBE", "state": "relaxed", "formation_energy_ev_per_atom": 0.0600, "polymorph_energy_ev_per_atom": 0.124, "space_group": "No. 107", "final_energy_ry_per_atom": -0.5708, "lattice_angstrom": [[-2.7695, 0.2106, 0.5213], [-0.5569, -0.6677, -2.6889], [1.5249, -4.6780, 2.3308]], "species": ["Fe", "U", "Be"], "frac_coords": [[0.6891, 0.6891, 0.3782], [0.0106, 0.0106, 0.0213], [0.3003, 0.3003, 0.6005]]}


{"formula": "RbAsPtSe2", "functional": "PBE", "state": "relaxed", "polymorph_energy_ev_per_atom": 2.032, "raw_formation_energy_kj_per_mol_atoms": 187, "space_group": "No. 123", "final_energy_ry_per_atom": -0.1317, "lattice_angstrom": [[-1.7569, 3.0627, 4.4812], [-2.9075, -4.5083, 1.9413], [4.4974, -1.6543, 2.8939]], "species": ["Se", "Se", "As", "Rb", "Pt"], "frac_coords": [[0.5000, 0.0000, 0.0000], [0.0000, 0.5000, 0.0000], [0.0000, 0.0000, 0.5000], [0.0000, 0.0000, 0.0000], [0.5000, 0.5000, 0.5000]]}